No. 1
BMoWS2, relaxed, DFT PBE-GGA; final energy = -6.229 eV per atom; size of the total moment = 0.000 μB per cell
1.0
4.607 0.000 0.000
0.000 4.607 0.000
0.000 0.000 4.013
B Mo W S
1 1 1 2
Direct
0.000 0.000 0.000
0.000 0.000 0.500
0.500 0.500 0.000
0.000 0.500 0.500
0.500 0.000 0.500



No. 2
TaAlCd2, relaxed, DFT PBE-GGA; energy of formation from the pure elements = 0.2028 eV/atom; final energy = -4.154 eV per atom; size of the total moment = 0.000 μB per cell
1.0
2.831 -4.615 0.000
2.831 4.615 0.000
0.000 0.000 2.942
Ta Al Cd
1 1 2
Direct
0.000 0.000 0.000
0.500 0.500 0.000
0.000 0.500 0.500
0.500 0.000 0.500



No. 3
ZrIn3B, relaxed, DFT PBE-GGA; energy of formation from the pure elements = 1.4895 eV/atom; final energy = -3.199 eV per atom; size of the total moment = 0.000 μB per cell; polymorph energy (0 for the lowest one) = 401 kJ/mol of formula units
1.0
5.597 0.000 0.000
0.000 5.597 0.000
0.000 0.000 5.597
Zr In B
1 3 1
Direct
0.000 0.000 0.000
0.000 0.000 0.500
0.000 0.500 0.000
0.500 0.000 0.000
0.500 0.500 0.500



Number 1: D(E_F) 1.5612 states/eV per atom. Number 2: D(E_F) 0.3744 states/eV per atom. Number 3: D(E_F) 0.7344 states/eV per atom.